## P
# CdPdSN2

An optimized crystal structure of CdPdSN2 (PBE-GGA, the Alexandria database).

Properties
Space-group type   No. 123
Spin magnetization   0.81 μB per atom

abc: 4.1275 4.1275 5.5049
angles: 90.00 90.00 90.00
Sites, in units of the cell vectors:
Cd 0.0000 0.0000 0.0000
Pd 0.5000 0.5000 0.5000
S 0.0000 0.0000 0.5000
N 0.0000 0.5000 0.0000
N 0.5000 0.0000 0.0000

=====

## Q
# CdPdSN2

An optimized crystal structure of CdPdSN2 (PBE-GGA, the Alexandria database).

Properties
Space-group type   No. 123
Spin magnetization   0.70 μB per atom

abc: 3.9600 3.9600 5.3664
angles: 90.00 90.00 90.00
Sites, in units of the cell vectors:
Cd 0.0000 0.0000 0.0000
Pd 0.5000 0.5000 0.5000
S 0.5000 0.5000 0.0000
N 0.0000 0.5000 0.5000
N 0.5000 0.0000 0.5000

=====

Last place for stability: P